(1)
PBE Ti12ReSn6, relaxed; crystal system = trigonal; VASP energy = -7.060 eV/atom; total magnetic moment = 0.0 μB per formula unit
1.0
-6.958 -1.197 0.409
0.580 -4.054 -5.765
1.412 -5.469 4.255
Ti Re Sn
12 1 6
Direct
0.793 0.530 0.449
0.449 0.793 0.530
0.530 0.449 0.793
0.207 0.470 0.551
0.551 0.207 0.470
0.470 0.551 0.207
0.056 0.142 0.367
0.858 0.633 0.944
0.633 0.944 0.858
0.944 0.858 0.633
0.142 0.367 0.056
0.367 0.056 0.142
0.000 0.000 0.000
0.717 0.880 0.264
0.736 0.283 0.120
0.120 0.736 0.283
0.283 0.120 0.736
0.264 0.717 0.880
0.880 0.264 0.717

=====

(2)
PBE Ti5ReSn2, relaxed; crystal system = tetragonal; VASP energy = -7.809 eV/atom; total magnetic moment = 0.0 μB per formula unit
1.0
-0.408 -2.965 -3.701
4.250 1.419 -1.605
0.786 -3.657 5.904
Ti Re Sn
5 1 2
Direct
0.500 0.500 0.000
0.614 0.114 0.228
0.114 0.614 0.228
0.386 0.886 0.772
0.886 0.386 0.772
0.000 0.000 0.000
0.250 0.250 0.501
0.750 0.750 0.499

=====

(3)
PBE TiRe2Sn, relaxed; crystal system = tetragonal; VASP energy = -8.624 eV/atom; total magnetic moment = 0.0 μB per formula unit
1.0
3.992 0.000 0.000
0.000 3.992 0.000
1.996 1.996 9.465
Re Sn Ti
4 2 2
Direct
0.558 0.125 0.250
0.192 0.625 0.250
0.375 0.442 0.750
0.875 0.808 0.750
0.000 0.000 0.000
0.750 0.250 0.500
0.500 0.500 0.000
0.250 0.750 0.500

=====

(4)
PBE YTiRe2Sn, relaxed; crystal system = tetragonal; VASP energy = -7.723 eV/atom; total magnetic moment = 0.0 μB per formula unit
1.0
4.675 0.000 0.000
0.000 5.055 0.000
0.000 0.000 4.675
Y Re Sn Ti
1 2 1 1
Direct
0.500 0.500 0.500
0.000 0.000 0.500
0.500 0.000 0.000
0.000 0.500 0.000
0.000 0.000 0.000

=====

(5)
PBE ZrTiRe2Sn, relaxed; crystal system = tetragonal; VASP energy = -7.373 eV/atom; total magnetic moment = 0.0 μB per formula unit
1.0
4.863 0.000 0.000
0.000 4.752 0.000
0.000 0.000 4.863
Re Sn Zr Ti
2 1 1 1
Direct
0.000 0.000 0.500
0.500 0.000 0.000
0.000 0.000 0.000
0.500 0.500 0.500
0.000 0.500 0.000

=====

(6)
PBE TlRe2Sn, relaxed; crystal system = cubic; total magnetic moment = 0.0 μB per formula unit; excess energy over the best structure of this formula in the dataset = 0.0 kJ per mole of atoms
1.0
0.450 -2.988 3.563
2.131 1.355 3.930
-2.484 0.631 3.906
Re Tl Sn
2 1 1
Direct
0.250 0.250 0.250
0.750 0.750 0.750
0.500 0.500 0.500
0.000 0.000 0.000

=====

(7)
PBE TlReSn2, relaxed; crystal system = tetragonal; total magnetic moment = 0.0 μB per formula unit; excess energy over the best structure of this formula in the dataset = 2.0 kJ per mole of atoms
1.0
-5.345 -1.891 2.398
2.353 -5.630 0.807
0.965 -1.715 8.700
Re Tl Sn
2 2 4
Direct
0.500 0.500 0.000
0.250 0.750 0.500
0.000 0.000 0.000
0.750 0.250 0.500
0.472 0.125 0.250
0.278 0.625 0.250
0.375 0.528 0.750
0.875 0.722 0.750

=====

(8)
PBE TlRe2Sn, relaxed; crystal system = tetragonal; total magnetic moment = 1.6 μB per formula unit; excess energy over the best structure of this formula in the dataset = 40.2 kJ per mole of atoms
1.0
-3.284 -2.353 6.529
5.408 -5.394 0.776
2.628 -2.098 5.080
Re Tl Sn
4 2 2
Direct
0.610 0.125 0.250
0.140 0.625 0.250
0.375 0.390 0.750
0.875 0.860 0.750
0.000 0.000 0.000
0.750 0.250 0.500
0.500 0.500 0.000
0.250 0.750 0.500